Density functional theory data (GGA-PBE) for crystalline Nd4CSBr2 at its relaxed geometry.

It has space group P2/m (No. 10), with a = 7.0204 Å, b = 3.9487 Å, c = 7.6234 Å, α = 90.00°, β = 107.33° and γ = 90.00°. Symmetry generates all atoms from Nd at (0.2065, 0.0000, 0.1885), Nd at (0.2372, 0.5000, 0.8073), C at (0.0000, 0.5000, 0.0000), S at (0.5000, 0.0000, 0.0000), Br at (0.0000, 0.0000, 0.5000) and Br at (0.5000, 0.5000, 0.5000).

Its formation energy (no corrections) is -1264 meV/atom. As for the uncorrected energy: -5.7350 eV per atom.


Density functional theory data (GGA-PBE) for crystalline Nd2ScC2Br2 at its relaxed geometry.

It has space group I4/mmm (No. 139), with a = 4.3220 Å, b = 4.3220 Å, c = 16.2194 Å, α = 90.00°, β = 90.00° and γ = 90.00°. Symmetry generates all atoms from Nd at (0.0000, 0.0000, 0.0989), Sc at (0.0000, 0.0000, 0.5000), C at (0.0000, 0.5000, 0.0000) and Br at (0.0000, 0.0000, 0.3167).

Its formation energy (no corrections) is -785 meV/atom. As for the uncorrected energy: -6.1647 eV per atom.


Density functional theory data (GGA-PBE) for crystalline Nd4CSeBr2 at its relaxed geometry.

It has space group P2/m (No. 10), with a = 7.2813 Å, b = 3.9725 Å, c = 7.5976 Å, α = 90.00°, β = 107.43° and γ = 90.00°. Symmetry generates all atoms from Nd at (0.1986, 0.0000, 0.1906), Nd at (0.2195, 0.5000, 0.8002), C at (0.0000, 0.5000, 0.0000), Se at (0.5000, 0.0000, 0.0000), Br at (0.0000, 0.0000, 0.5000) and Br at (0.5000, 0.5000, 0.5000).

Its formation energy (no corrections) is -1203 meV/atom. As for the uncorrected energy: -5.5940 eV per atom.


Density functional theory data (GGA-PBE) for crystalline Nd4SiCBr2 at its relaxed geometry.

It has space group P2/m (No. 10), with a = 7.0748 Å, b = 4.0285 Å, c = 7.8067 Å, α = 90.00°, β = 107.53° and γ = 90.00°. Symmetry generates all atoms from Nd at (0.2081, 0.0000, 0.1884), Nd at (0.2388, 0.5000, 0.8015), Si at (0.5000, 0.0000, 0.0000), C at (0.0000, 0.5000, 0.0000), Br at (0.0000, 0.0000, 0.5000) and Br at (0.5000, 0.5000, 0.5000).

Its formation energy (no corrections) is -942 meV/atom. As for the uncorrected energy: -5.5747 eV per atom.


Density functional theory data (GGA-PBE) for crystalline Nd6Si2CBr3 at its relaxed geometry.

It has space group C2/m (No. 12), with a = 7.1555 Å, b = 12.3793 Å, c = 7.7979 Å, α = 90.00°, β = 107.80° and γ = 90.00°. Symmetry generates all atoms from Nd at (0.2191, 0.1532, 0.1978), Nd at (0.2398, 0.0000, 0.8014), Si at (0.0000, 0.3335, 0.0000), C at (0.0000, 0.0000, 0.0000), Br at (0.0000, 0.1705, 0.5000) and Br at (0.0000, 0.5000, 0.5000).

Its formation energy (no corrections) is -988 meV/atom. As for the uncorrected energy: -5.4628 eV per atom.


Density functional theory data (GGA-PBE) for crystalline NdSmCBr at its relaxed geometry.

It has space group R3m (No. 160, hexagonal axes), with a = 3.7789 Å, b = 3.7789 Å, c = 22.3074 Å, α = 90.00°, β = 90.00° and γ = 120.00°. Symmetry generates all atoms from Nd at (0.0000, 0.0000, 0.0000), Sm at (0.0000, 0.0000, 0.7884), C at (0.0000, 0.0000, 0.3966) and Br at (0.0000, 0.0000, 0.2249).

Its formation energy (no corrections) is -892 meV/atom. As for the uncorrected energy: -5.9884 eV per atom.


Density functional theory data (GGA-PBE) for crystalline Nd3TeCBr at its relaxed geometry.

It has space group P2_1/m (No. 11), with a = 7.8117 Å, b = 4.0087 Å, c = 10.4879 Å, α = 90.00°, β = 91.99° and γ = 90.00°. Symmetry generates all atoms from Nd at (0.0514, 0.2500, 0.2193), Nd at (0.1937, 0.7500, 0.5097), Nd at (0.3347, 0.2500, 0.7930), Te at (0.4226, 0.2500, 0.3378), C at (0.0692, 0.2500, 0.6614) and Br at (0.2305, 0.7500, 0.0035).

Its formation energy (no corrections) is -1013 meV/atom. As for the uncorrected energy: -5.7364 eV per atom.


Density functional theory data (GGA-PBE) for crystalline NdThCBr at its relaxed geometry.

It has space group Cm (No. 8), with a = 6.5197 Å, b = 3.7756 Å, c = 7.9274 Å, α = 90.00°, β = 105.89° and γ = 90.00°. Symmetry generates all atoms from Nd at (0.0000, 0.0000, 0.0000), Th at (0.2883, 0.5000, 0.3650), C at (0.3986, 0.0000, 0.1956) and Br at (0.2300, 0.0000, 0.6895).

Its formation energy (no corrections) is -856 meV/atom. As for the uncorrected energy: -6.6269 eV per atom.


Density functional theory data (GGA-PBE) for crystalline NdTmCBr at its relaxed geometry.

It has space group R3m (No. 160, hexagonal axes), with a = 3.7058 Å, b = 3.7058 Å, c = 21.7999 Å, α = 90.00°, β = 90.00° and γ = 120.00°. Symmetry generates all atoms from Nd at (0.0000, 0.0000, 0.0000), Tm at (0.0000, 0.0000, 0.7871), C at (0.0000, 0.0000, 0.4013) and Br at (0.0000, 0.0000, 0.2205).

Its formation energy (no corrections) is -917 meV/atom. As for the uncorrected energy: -5.9507 eV per atom.


Density functional theory data (GGA-PBE) for crystalline Nd2TmC2Br2 at its relaxed geometry.

It has space group I4/mmm (No. 139), with a = 4.5036 Å, b = 4.5036 Å, c = 15.6602 Å, α = 90.00°, β = 90.00° and γ = 90.00°. Symmetry generates all atoms from Nd at (0.0000, 0.0000, 0.1002), Tm at (0.0000, 0.0000, 0.5000), C at (0.0000, 0.5000, 0.0000) and Br at (0.0000, 0.0000, 0.3110).

Its formation energy (no corrections) is -682 meV/atom. As for the uncorrected energy: -5.7960 eV per atom.


Density functional theory data (GGA-PBE) for crystalline Nd4ZnCBr2 at its relaxed geometry.

It has space group P2/m (No. 10), with a = 7.2612 Å, b = 3.9367 Å, c = 7.7511 Å, α = 90.00°, β = 106.41° and γ = 90.00°. Symmetry generates all atoms from Nd at (0.2008, 0.0000, 0.1870), Nd at (0.2308, 0.5000, 0.7927), Zn at (0.5000, 0.0000, 0.0000), C at (0.0000, 0.5000, 0.0000), Br at (0.0000, 0.0000, 0.5000) and Br at (0.5000, 0.5000, 0.5000).

Its formation energy (no corrections) is -728 meV/atom. As for the uncorrected energy: -4.8425 eV per atom.


Density functional theory data (GGA-PBE) for crystalline NiCBr2 at its relaxed geometry.

It has space group Fm-3m (No. 225), with a = 6.3803 Å, b = 6.3803 Å, c = 6.3803 Å, α = 90.00°, β = 90.00° and γ = 90.00°. Symmetry generates all atoms from Ni at (0.0000, 0.0000, 0.0000), C at (0.0000, 0.0000, 0.5000) and Br at (0.2500, 0.2500, 0.2500).

Its formation energy (no corrections) is 1828 meV/atom. As for the uncorrected energy: -2.7600 eV per atom. The calculation puts the distance to the lowest polymorph of the same formula at 407 meV per atom.